[1]
Here is a geometry-optimized ZrBePd structure from Alexandria via LeMat-Bulk. Energies are from PBE.

The structure belongs to space group C2/m (No. 12); the cell edges are 11.128, 3.425 and 4.952 Å and the angles 90.00°, 103.07° and 90.00°. Symmetry generates all atoms from Zr at (0.128, 0.000, 0.325), Be at (0.229, 0.000, 0.861) and Pd at (0.086, 0.500, 0.790).

As for the crystal system: monoclinic. The formation energy comes out at -498 meV/atom. The energy above the most stable polymorph in this dataset comes out at 43.2 meV/atom. The calculation puts the uncorrected energy at -75.8 eV/cell.

***

[2]
Here is a geometry-optimized HfGaB2 structure from Alexandria via LeMat-Bulk. Energies are from PBE.

The structure belongs to space group I-42d (No. 122); the cell edges are 4.036, 4.036 and 13.436 Å and the angles 90.00°, 90.00° and 90.00°. Symmetry generates all atoms from Hf at (0.000, 0.000, 0.000), Ga at (0.000, 0.000, 0.500) and B at (0.121, 0.250, 0.625).

As for the crystal system: tetragonal. The formation energy comes out at 457 meV/atom. The calculation puts the uncorrected energy at -98.0 eV/cell.

***

[3]
Here is a geometry-optimized TmScMn17 structure from Alexandria via LeMat-Bulk. Energies are from PBE.

The structure belongs to space group R3m (No. 160, hexagonal axes); the cell edges are 8.1512, 8.1512 and 12.2736 Å and the angles 90.00°, 90.00° and 120.00°. Symmetry generates all atoms from Tm at (0.0000, 0.0000, 0.0000), Sc at (0.0000, 0.0000, 0.6881), Mn at (0.0000, 0.0000, 0.2525), Mn at (0.0000, 0.0000, 0.4352), Mn at (0.0028, 0.2963, 0.3438), Mn at (0.0029, 0.5014, 0.1867), Mn at (0.1674, 0.3349, 0.8344) and Mn at (0.1676, 0.3352, 0.1768).

As for the crystal system: trigonal. The formation energy comes out at 15 meV/atom. The calculation puts the uncorrected energy at -499.2 eV/cell.

***

[4]
Here is a geometry-optimized Sm2ScCuTe5 structure from Alexandria via LeMat-Bulk. Energies are from PBE.

The structure belongs to space group Cmc2_1 (No. 36); the cell edges are 4.233, 18.722 and 12.787 Å and the angles 90.00°, 90.00° and 90.00°. Symmetry generates all atoms from Sm at (0.000, 0.110, 0.000), Sm at (0.000, 0.126, 0.618), Sc at (0.000, 0.188, 0.323), Cu at (0.000, 0.425, 0.771), Te at (0.000, 0.043, 0.377), Te at (0.000, 0.286, 0.978), Te at (0.000, 0.308, 0.659), Te at (0.000, 0.350, 0.312) and Te at (0.000, 0.500, 0.100).

As for the crystal system: orthorhombic. The calculation puts the uncorrected energy at -183.6 eV/cell.

***

[5]
Here is a geometry-optimized ScGe2Pb structure from Alexandria via LeMat-Bulk. Energies are from PBE.

The structure belongs to space group I-42d (No. 122); the cell edges are 7.909, 7.909 and 5.963 Å and the angles 90.00°, 90.00° and 90.00°. Symmetry generates all atoms from Sc at (0.000, 0.000, 0.000), Ge at (0.238, 0.250, 0.125) and Pb at (0.000, 0.000, 0.500).

As for the crystal system: tetragonal. The formation energy comes out at 2 meV/atom. The calculation puts the uncorrected energy at -77.1 eV/cell.

***

[6]
Here is a geometry-optimized UCdTc structure from Alexandria via LeMat-Bulk. Energies are from PBE.

The structure belongs to space group I4mm (No. 107); the cell edges are 3.188, 3.188 and 12.193 Å and the angles 90.00°, 90.00° and 90.00°. Symmetry generates all atoms from U at (0.000, 0.000, 0.000), Cd at (0.000, 0.000, 0.714) and Tc at (0.000, 0.000, 0.372).

As for the crystal system: tetragonal. The formation energy comes out at 168 meV/atom. The calculation puts the uncorrected energy at -44.1 eV/cell.

***

[7]
Here is a geometry-optimized Ni4Rh structure from Alexandria via LeMat-Bulk. Energies are from PBE.

The structure belongs to space group R-3m (No. 166, hexagonal axes); the cell edges are 4.0587, 4.0587 and 12.4089 Å and the angles 90.00°, 90.00° and 120.00°. Symmetry generates all atoms from Ni at (0.0000, 0.0000, 0.0949), Ni at (0.0000, 0.0000, 0.2949) and Rh at (0.0000, 0.0000, 0.5000).

As for the crystal system: trigonal. The formation energy comes out at 130 meV/atom. The energy above the most stable polymorph in this dataset comes out at 120.7 meV/atom. The calculation puts the uncorrected energy at -89.5 eV/cell.

***

[8]
Here is a geometry-optimized Pu2GaPd3 structure from Alexandria via LeMat-Bulk. Energies are from PBE.

The structure belongs to space group Cmc2_1 (No. 36); the cell edges are 8.074, 6.760 and 8.737 Å and the angles 90.00°, 90.00° and 90.00°. Symmetry generates all atoms from Pu at (0.185, 0.217, 0.000), Ga at (0.000, 0.148, 0.672), Pd at (0.000, 0.148, 0.357) and Pd at (0.167, 0.493, 0.748).

As for the crystal system: orthorhombic. The formation energy comes out at -446 meV/atom. The energy above the most stable polymorph in this dataset comes out at 181.1 meV/atom. The calculation puts the uncorrected energy at -199.8 eV/cell.

***

| no. | density (g/cm³) |
| --- | --- |
| 1 | 7.467 |
| 2 | 8.189 |
| 3 | 8.097 |
| 4 | 6.863 |
| 5 | 7.078 |
| 6 | 12.020 |
| 7 | 9.503 |
| 8 | 12.215 |